Entry 1:
## YErAu5 (GGA-PBE)

Data for an optimized crystal structure of YErAu5.

ΔE_f	-0.66	eV per atom
theoretical density	13.98	g/cm3
V	294.71	Å³/cell
magnetization	0.0000	μB/atom
space group	C2/c (15)

```
YErAu5
1.0
3.3711 -4.0745 0.0000
3.3711 4.0745 0.0000
-3.2769 0.0000 10.7278
Y Er Au
2 2 10
Cartesian
1.6856 2.0373 0.0000 Y
0.0471 -2.0373 5.3639 Y
0.9134 2.5490 8.0459 Er
2.5519 -2.5490 2.6820 Er
-0.6084 0.8798 5.8075 Au
2.5519 2.6311 2.6820 Au
1.0300 -0.8798 0.4436 Au
1.5283 0.0507 3.7709 Au
-0.1101 -0.0507 9.1348 Au
3.5755 0.0507 1.5931 Au
1.9370 -0.0507 6.9570 Au
2.4353 0.8798 10.2842 Au
0.9134 -2.6311 8.0459 Au
4.0738 -0.8798 4.9203 Au
```


Entry 2:
## Er3Zn4Au4 (GGA-PBE)

Data for an optimized crystal structure of Er3Zn4Au4.

ΔE_f	-0.60	eV per atom
theoretical density	11.64	g/cm3
V	221.36	Å³/cell
magnetization	0.0000	μB/atom
space group	Immm (71)
excess energy over the best structure of this formula in the dataset	0.003	eV/atom

```
Er3Zn4Au4
1.0
-2.0602 3.7273 7.2069
2.0602 -3.7273 7.2069
2.0602 3.7273 -7.2069
Er Zn Au
3 4 4
Cartesian
0.0000 0.0000 0.0000 Er
2.0602 0.0000 5.4087 Er
0.0000 3.7273 1.7983 Er
2.0602 1.4716 -2.4966 Zn
2.0602 1.4716 2.4966 Zn
0.0000 2.2557 4.7103 Zn
0.0000 2.2557 9.7036 Zn
0.0000 0.0000 3.1658 Au
2.0602 2.2643 0.0000 Au
0.0000 1.4630 7.2069 Au
0.0000 0.0000 11.2481 Au
```


Q: Which value of V does entry 2 give?
A: 221.36 Å³/cell


Q: The lowest V belongs to which entry?
A: Er3Zn4Au4


Repeat the first record exactly.
## YErAu5 (GGA-PBE)

Data for an optimized crystal structure of YErAu5.

ΔE_f	-0.66	eV per atom
theoretical density	13.98	g/cm3
V	294.71	Å³/cell
magnetization	0.0000	μB/atom
space group	C2/c (15)

```
YErAu5
1.0
3.3711 -4.0745 0.0000
3.3711 4.0745 0.0000
-3.2769 0.0000 10.7278
Y Er Au
2 2 10
Cartesian
1.6856 2.0373 0.0000 Y
0.0471 -2.0373 5.3639 Y
0.9134 2.5490 8.0459 Er
2.5519 -2.5490 2.6820 Er
-0.6084 0.8798 5.8075 Au
2.5519 2.6311 2.6820 Au
1.0300 -0.8798 0.4436 Au
1.5283 0.0507 3.7709 Au
-0.1101 -0.0507 9.1348 Au
3.5755 0.0507 1.5931 Au
1.9370 -0.0507 6.9570 Au
2.4353 0.8798 10.2842 Au
0.9134 -2.6311 8.0459 Au
4.0738 -0.8798 4.9203 Au
```